Entry from Alexandria: an optimized crystal structure of U8CoS17 (PBE).

## Properties
The value obtained for the formation energy from raw total energies is -1321 meV per atom. As for the space-group type: C2/m (12). As for the electronic total energy: -7.766 eV/atom.

abc: 7.7684 7.7684 10.2586
angles: 80.51 80.51 64.33
Closest atoms and distances in Å follow each position.
Sites, in units of the cell vectors:
1 U 0.1814 0.7003 0.7021  8 S 2.70-2.87
2 U 0.7003 0.1814 0.7021  8 S 2.70-2.87
3 U 0.8186 0.2997 0.2979  8 S 2.70-2.87
4 U 0.2997 0.8186 0.2979  8 S 2.70-2.87
5 U 0.2030 0.2030 0.5463  8 S 2.72-2.80
6 U 0.7970 0.7970 0.4537  8 S 2.72-2.80
7 U 0.6824 0.6824 0.9824  8 S 2.67-2.98
8 U 0.3176 0.3176 0.0176  8 S 2.67-2.98
9 Co 0.0000 0.0000 0.0000  6 S 2.25-2.40
10 S 0.8202 0.4334 0.5359  4 U 2.74-2.81
11 S 0.4334 0.8202 0.5359  4 U 2.74-2.81
12 S 0.1798 0.5666 0.4641  4 U 2.74-2.81
13 S 0.5666 0.1798 0.4641  4 U 2.74-2.81
14 S 0.0561 0.6786 0.9730  1 Co 2.40, 1 U 2.67
15 S 0.6786 0.0561 0.9730  1 Co 2.40, 1 U 2.67
16 S 0.9439 0.3214 0.0270  1 Co 2.40, 1 U 2.67
17 S 0.3214 0.9439 0.0270  1 Co 2.40, 1 U 2.67
18 S 0.0557 0.0557 0.7780  1 Co 2.25
19 S 0.9443 0.9443 0.2220  1 Co 2.25
20 S 0.2126 0.2126 0.2794  4 U 2.72-2.81
21 S 0.7874 0.7874 0.7206  4 U 2.72-2.81
22 S 0.3014 0.3014 0.7561  4 U 2.72-2.81
23 S 0.6986 0.6986 0.2439  4 U 2.72-2.81
24 S 0.5209 0.5209 0.8299  4 U 2.82-2.98, 1 S 3.13
25 S 0.4791 0.4791 0.1701  4 U 2.82-2.98, 1 S 3.13
26 S 0.0000 0.0000 0.5000  6 U 2.80-2.87, 6 S 3.08-3.10



Entry from Alexandria: an optimized crystal structure of U2CoS6 (PBE).

## Properties
The value obtained for the formation energy from raw total energies is -897 meV per atom. As for the space-group type: P4_2/mnm (136). As for the electronic total energy: -6.946 eV/atom.

abc: 6.0740 6.0740 10.9880
angles: 90.00 90.00 90.00
Closest atoms and distances in Å follow each position.
Sites, in units of the cell vectors:
1 U 0.5000 0.5000 0.3213  6 S 2.57-2.63
2 U 0.5000 0.5000 0.6787  6 S 2.57-2.63
3 U 0.0000 0.0000 0.1787  6 S 2.57-2.63
4 U 0.0000 0.0000 0.8213  6 S 2.57-2.63
5 Co 0.5000 0.5000 0.0000  6 S 2.32-2.58
6 Co 0.0000 0.0000 0.5000  6 S 2.32-2.58
7 S 0.6963 0.6963 0.1452  1 Co 2.32, 1 U 2.57
8 S 0.6963 0.6963 0.8548  1 Co 2.32, 1 U 2.57
9 S 0.6994 0.6994 0.5000  1 Co 2.58, 2 U 2.61
10 S 0.8006 0.1994 0.0000  1 Co 2.58, 2 U 2.61
11 S 0.8037 0.1963 0.3548  1 Co 2.32, 1 U 2.57
12 S 0.8037 0.1963 0.6452  1 Co 2.32, 1 U 2.57
13 S 0.1963 0.8037 0.3548  1 Co 2.32, 1 U 2.57
14 S 0.1963 0.8037 0.6452  1 Co 2.32, 1 U 2.57
15 S 0.1994 0.8006 0.0000  1 Co 2.58, 2 U 2.61
16 S 0.3006 0.3006 0.5000  1 Co 2.58, 2 U 2.61
17 S 0.3037 0.3037 0.1452  1 Co 2.32, 1 U 2.57
18 S 0.3037 0.3037 0.8548  1 Co 2.32, 1 U 2.57



Entry from Alexandria: an optimized crystal structure of U2CoS5 (PBE).

## Properties
The value obtained for the formation energy from raw total energies is -1117 meV per atom. As for the space-group type: C2/c (15). As for the electronic total energy: -7.407 eV/atom.

abc: 7.8569 7.8569 6.9293
angles: 83.34 83.34 44.92
Closest atoms and distances in Å follow each position.
Sites, in units of the cell vectors:
1 U 0.9050 0.3128 0.4157  7 S 2.63-2.78
2 U 0.6872 0.0950 0.0843  7 S 2.63-2.78
3 U 0.0950 0.6872 0.5843  7 S 2.63-2.78
4 U 0.3128 0.9050 0.9157  7 S 2.63-2.78
5 Co 0.0000 0.5000 0.0000  6 S 2.41-2.44
6 Co 0.5000 0.0000 0.5000  6 S 2.41-2.44
7 S 0.0972 0.9028 0.2500  4 U 2.71-2.75
8 S 0.9028 0.0972 0.7500  4 U 2.71-2.75
9 S 0.7094 0.4763 0.0753  1 Co 2.41, 1 U 2.63
10 S 0.5237 0.2906 0.4247  1 Co 2.41, 1 U 2.63
11 S 0.2906 0.5237 0.9247  1 Co 2.41, 1 U 2.63
12 S 0.4763 0.7094 0.5753  1 Co 2.41, 1 U 2.63
13 S 0.8618 0.6941 0.3085  2 Co 2.41-2.44
14 S 0.3059 0.1382 0.1915  2 Co 2.41-2.44
15 S 0.1382 0.3059 0.6915  2 Co 2.41-2.44
16 S 0.6941 0.8618 0.8085  2 Co 2.41-2.44



Entry from Alexandria: an optimized crystal structure of VCoS4 (PBE).

## Properties
The value obtained for the formation energy from raw total energies is -346 meV per atom. As for the space-group type: I-4m2 (119). As for the electronic total energy: -5.801 eV/atom.

abc: 4.4569 4.4569 6.5126
angles: 110.01 110.01 90.00
Closest atoms and distances in Å follow each position.
Sites, in units of the cell vectors:
1 V 0.2500 0.7500 0.5000  6 S 2.31
2 Co 0.5000 0.5000 0.0000  6 S 2.22-2.29
3 S 0.0475 0.5475 0.0950  2 Co 2.29, 1 V 2.31
4 S 0.6950 0.6950 0.3900  1 Co 2.22, 2 V 2.31
5 S 0.4525 0.9525 0.9050  2 Co 2.29, 1 V 2.31
6 S 0.3050 0.3050 0.6100  1 Co 2.22, 2 V 2.31



Entry from Alexandria: an optimized crystal structure of VCo2S4 (PBE).

## Properties
The value obtained for the formation energy from raw total energies is 78 meV per atom. As for the space-group type: I4/mmm (139). As for the electronic total energy: -5.614 eV/atom.

abc: 4.6472 4.6472 6.4407
angles: 68.85 68.85 90.00
Closest atoms and distances in Å follow each position.
Sites, in units of the cell vectors:
1 S 0.2088 0.2088 0.5825  1 Co 2.08, 1 V 2.31
2 S 0.7912 0.7912 0.4175  1 Co 2.08, 1 V 2.31
3 S 0.0000 0.5000 0.0000  2 V 2.32, 4 Co 2.59
4 S 0.5000 0.0000 0.0000  2 V 2.32, 4 Co 2.59
5 Co 0.3967 0.3967 0.2066  1 S 2.08, 1 Co 2.29
6 Co 0.6033 0.6033 0.7934  1 S 2.08, 1 Co 2.29
7 V 0.0000 0.0000 0.0000  6 S 2.31-2.32



Entry from Alexandria: an optimized crystal structure of V2CoS6 (PBE).

## Properties
The value obtained for the formation energy from raw total energies is -552 meV per atom. As for the space-group type: P4_2/mnm (136). As for the electronic total energy: -6.119 eV/atom.

abc: 5.5006 5.5006 9.9844
angles: 90.00 90.00 90.00
Closest atoms and distances in Å follow each position.
Sites, in units of the cell vectors:
1 V 0.5000 0.5000 0.3493  6 S 2.25-2.42
2 V 0.5000 0.5000 0.6507  6 S 2.25-2.42
3 V 0.0000 0.0000 0.1507  6 S 2.25-2.42
4 V 0.0000 0.0000 0.8493  6 S 2.25-2.42
5 Co 0.5000 0.5000 0.0000  6 S 2.22-2.25
6 Co 0.0000 0.0000 0.5000  6 S 2.22-2.25
7 S 0.6903 0.6903 0.1697  1 Co 2.25, 2 V 2.33-2.42
8 S 0.6903 0.6903 0.8303  1 Co 2.25, 2 V 2.33-2.42
9 S 0.7150 0.7150 0.5000  1 Co 2.22, 2 V 2.25
10 S 0.7850 0.2150 0.0000  1 Co 2.22, 2 V 2.25
11 S 0.8097 0.1903 0.3303  1 Co 2.25, 2 V 2.33-2.42
12 S 0.8097 0.1903 0.6697  1 Co 2.25, 2 V 2.33-2.42
13 S 0.1903 0.8097 0.3303  1 Co 2.25, 2 V 2.33-2.42
14 S 0.1903 0.8097 0.6697  1 Co 2.25, 2 V 2.33-2.42
15 S 0.2150 0.7850 0.0000  1 Co 2.22, 2 V 2.25
16 S 0.2850 0.2850 0.5000  1 Co 2.22, 2 V 2.25
17 S 0.3097 0.3097 0.1697  1 Co 2.25, 2 V 2.33-2.42
18 S 0.3097 0.3097 0.8303  1 Co 2.25, 2 V 2.33-2.42



Entry from Alexandria: an optimized crystal structure of V3CoS4 (PBE).

## Properties
The value obtained for the formation energy from raw total energies is -614 meV per atom. As for the space-group type: Pmn2_1 (31). As for the electronic total energy: -6.986 eV/atom.

abc: 5.9436 6.4347 6.3728
angles: 90.00 90.00 90.00
Closest atoms and distances in Å follow each position.
Sites, in units of the cell vectors:
1 V 0.4311 0.7712 0.0000  4 S 2.25-2.37
2 V 0.0620 0.6400 0.2545  4 S 2.23-2.31
3 V 0.5620 0.3600 0.2455  4 S 2.23-2.31
4 V 0.9311 0.2288 0.5000  4 S 2.25-2.37
5 V 0.5620 0.3600 0.7545  4 S 2.23-2.31
6 V 0.0620 0.6400 0.7455  4 S 2.23-2.31
7 Co 0.9382 0.2236 0.0000  4 S 2.19-2.27
8 Co 0.4382 0.7764 0.5000  4 S 2.19-2.27
9 S 0.0756 0.8939 0.0000  3 V 2.26-2.30, 1 Co 2.27
10 S 0.5915 0.1081 0.0000  1 Co 2.19, 3 V 2.26-2.37
11 S 0.1774 0.3096 0.2455  1 Co 2.19, 3 V 2.23-2.31
12 S 0.6774 0.6904 0.2545  1 Co 2.19, 3 V 2.23-2.31
13 S 0.0915 0.8919 0.5000  1 Co 2.19, 3 V 2.26-2.37
14 S 0.5756 0.1061 0.5000  3 V 2.26-2.30, 1 Co 2.27
15 S 0.6774 0.6904 0.7455  1 Co 2.19, 3 V 2.23-2.31
16 S 0.1774 0.3096 0.7545  1 Co 2.19, 3 V 2.23-2.31



Entry from Alexandria: an optimized crystal structure of CoW2S2 (PBE).

## Properties
The value obtained for the formation energy from raw total energies is 585 meV per atom. As for the space-group type: I4/mmm (139). As for the electronic total energy: -7.669 eV/atom.

abc: 3.7735 3.7735 6.2029
angles: 72.29 72.29 90.00
Closest atoms and distances in Å follow each position.
Sites, in units of the cell vectors:
1 S 0.7500 0.2500 0.5000  4 W 2.41, 4 S 2.67
2 S 0.2500 0.7500 0.5000  4 W 2.41, 4 S 2.67
3 Co 0.0000 0.0000 0.0000  8 W 2.97
4 W 0.3841 0.3841 0.2318  4 S 2.41, 1 W 2.60
5 W 0.6159 0.6159 0.7682  4 S 2.41, 1 W 2.60



Entry from Alexandria: an optimized crystal structure of CoW3S (PBE).

## Properties
The value obtained for the formation energy from raw total energies is 1180 meV per atom. As for the space-group type: Pm-3m (221). As for the electronic total energy: -8.839 eV/atom. The offset from the most stable computed form is 0 meV/atom.

abc: 4.3673 4.3673 4.3673
angles: 90.00 90.00 90.00
Closest atoms and distances in Å follow each position.
Sites, in units of the cell vectors:
1 S 0.0000 0.0000 0.0000  6 W 2.18
2 Co 0.5000 0.5000 0.5000  12 W 3.09
3 W 0.0000 0.5000 0.0000  2 S 2.18
4 W 0.0000 0.0000 0.5000  2 S 2.18
5 W 0.5000 0.0000 0.0000  2 S 2.18



Entry from Alexandria: an optimized crystal structure of CoWS2 (PBE).

## Properties
The value obtained for the formation energy from raw total energies is -112 meV per atom. As for the space-group type: R-3m (166). As for the electronic total energy: -7.191 eV/atom. The offset from the most stable computed form is 0 meV/atom.

abc: 7.7693 7.7693 7.7693
angles: 22.97 22.97 22.97
Closest atoms and distances in Å follow each position.
Sites, in units of the cell vectors:
1 S 0.9061 0.9061 0.9061  1 Co 2.13
2 S 0.0939 0.0939 0.0939  1 Co 2.13
3 Co 0.0000 0.0000 0.0000  2 S 2.13
4 W 0.5000 0.5000 0.5000  6 S 2.43



Entry from Alexandria: an optimized crystal structure of Co3WS (PBE).

## Properties
The value obtained for the formation energy from raw total energies is 669 meV per atom. As for the space-group type: Pm-3m (221). As for the electronic total energy: -7.011 eV/atom. The offset from the most stable computed form is 0 meV/atom.

abc: 4.0674 4.0674 4.0674
angles: 90.00 90.00 90.00
Closest atoms and distances in Å follow each position.
Sites, in units of the cell vectors:
1 S 0.0000 0.0000 0.0000  6 Co 2.03
2 Co 0.0000 0.5000 0.0000  2 S 2.03
3 Co 0.0000 0.0000 0.5000  2 S 2.03
4 Co 0.5000 0.0000 0.0000  2 S 2.03
5 W 0.5000 0.5000 0.5000  12 Co 2.88



Entry from Alexandria: an optimized crystal structure of CoWS2 (PBE).

## Properties
The value obtained for the formation energy from raw total energies is -53 meV per atom. As for the space-group type: I-42d (122). As for the electronic total energy: -7.132 eV/atom. The offset from the most stable computed form is 59 meV/atom.

abc: 5.2285 5.2285 6.1990
angles: 65.06 65.06 90.00
Closest atoms and distances in Å follow each position.
Sites, in units of the cell vectors:
1 S 0.6007 0.1250 0.2500  2 Co 2.16, 2 W 2.30
2 S 0.1493 0.6250 0.2500  2 Co 2.16, 2 W 2.30
3 S 0.3750 0.3993 0.7500  2 Co 2.16, 2 W 2.30
4 S 0.8750 0.8507 0.7500  2 Co 2.16, 2 W 2.30
5 Co 0.5000 0.5000 0.0000  4 S 2.16
6 Co 0.2500 0.7500 0.5000  4 S 2.16
7 W 0.0000 0.0000 0.0000  4 S 2.30
8 W 0.7500 0.2500 0.5000  4 S 2.30



Question: The highest electronic total energy belongs to which entry?
Answer: VCo2S4